Compound: MnAsOs2
Source: Alexandria
Functional: GGA-PBE
Structure: optimized geometry

Cell and atoms, written as POSCAR:
```
MnAsOs2
1.0
4.482 -0.104 0.087
3.624 2.639 0.087
0.527 0.165 4.730
As Mn Os
1 1 2
Direct
0.750 0.750 0.750
0.250 0.250 0.250
0.985 0.985 0.013
0.515 0.515 0.487
```

Properties
energy relative to the elements: 241 meV per atom
DOS(E_F): 0.587 states/eV/atom
M_tot: 2.79 μB/f.u.
symmetry: C2/m (12)